Below is La2TbSm2Dy4 after structural relaxation, with properties calculated at the PBE level.

Cell: 18.887 3.644 9.667 Å, 90.00 115.72 90.00°
Space group C2/m (No. 12)
Symmetry-distinct sites (fractional):
La1 0.165 0.000 0.000
Tb1 0.000 0.500 0.000
Sm1 0.147 0.500 0.662
Dy1 0.020 0.000 0.334
Dy2 0.185 0.500 0.337

Values from the calculation:
Formation energy ... 0.003 eV per atom
Fermi-level density of states ... 26.084 states/eV/cell
Magnetic moment ... 0.00 μB/f.u.